# CdInAg2

Crystalline CdInAg2 at its relaxed geometry (PBE-GGA, Alexandria).

Cell: 9.622 9.622 9.622 Å, 18.91 18.91 18.91°
Sites, in units of the cell vectors:
1 Cd 0.000 0.000 0.000
2 In 0.500 0.500 0.500
3 Ag 0.250 0.250 0.250
4 Ag 0.750 0.750 0.750

Fermi-level density of states in states/eV per atom: 0.66
Final energy in eV/cell: -9.23
Space group: No. 166
Calculated volume in Å³/f.u.: 81.7
Size of the total moment in μB per formula unit: 0.00
Density in kg/m³: 8998